# 1
# Nb2VW4 (PBE-GGA, optimized geometry)
data_Nb2VW4
_symmetry_space_group_name_H-M 'C 1 c 1'
_symmetry_Int_Tables_number 9
_cell_length_a 5.886
_cell_length_b 7.041
_cell_length_c 12.080
_cell_angle_alpha 90.00
_cell_angle_beta 104.01
_cell_angle_gamma 90.00
loop_
_symmetry_equiv_pos_as_xyz
'x,y,z'
'x,-y,z+1/2'
'x+1/2,y+1/2,z'
'x+1/2,-y+1/2,z+1/2'
loop_
_atom_site_label
_atom_site_fract_x
_atom_site_fract_y
_atom_site_fract_z
Nb1 0.000 0.002 0.000
Nb2 0.319 0.253 0.139
V1 0.138 0.375 0.320
W1 0.127 0.036 0.276
W2 0.174 0.286 0.863
W3 0.301 0.257 0.638
W4 0.483 0.007 0.501
# total magnetization	0.0	μB/f.u.
# raw total energy	-11.106	eV/atom
# energy of formation from the pure elements	11.0	kcal/mol of atoms
# theoretical density	13.3	g cm⁻³
# relative energy among the computed polymorphs	76	meV/atom
# DOS(E_F)	4.87	states/eV/f.u.

=====

# 2
# Al3V4Mo (PBE-GGA, optimized geometry)
data_Al3V4Mo
_symmetry_space_group_name_H-M 'P m n 21'
_symmetry_Int_Tables_number 31
_cell_length_a 8.822
_cell_length_b 5.309
_cell_length_c 4.939
_cell_angle_alpha 90.00
_cell_angle_beta 90.00
_cell_angle_gamma 90.00
loop_
_symmetry_equiv_pos_as_xyz
'x,y,z'
'-x+1/2,-y,z+1/2'
'-x,y,z'
'x+1/2,-y,z+1/2'
loop_
_atom_site_label
_atom_site_fract_x
_atom_site_fract_y
_atom_site_fract_z
Al1 0.000 0.144 0.000
Al2 0.247 0.631 0.692
V1 0.000 0.656 0.999
V2 0.000 0.908 0.501
V3 0.244 0.872 0.204
Mo1 0.000 0.390 0.495
# total magnetization	0.0	μB/f.u.
# raw total energy	-7.432	eV/atom
# energy of formation from the pure elements	-2.7	kcal/mol of atoms
# theoretical density	5.5	g cm⁻³
# relative energy among the computed polymorphs	0	meV/atom
# DOS(E_F)	7.04	states/eV/f.u.

=====

# 3
# PrTl2 (PBE-GGA, optimized geometry)
data_PrTl2
_symmetry_space_group_name_H-M 'I 4/m m m'
_symmetry_Int_Tables_number 139
_symmetry_space_group_name_Hall '-I 4 2'
_cell_length_a 3.756
_cell_length_b 3.756
_cell_length_c 12.598
_cell_angle_alpha 90.00
_cell_angle_beta 90.00
_cell_angle_gamma 90.00
loop_
_atom_site_label
_atom_site_fract_x
_atom_site_fract_y
_atom_site_fract_z
Pr1 0.000 0.000 0.000
Tl1 0.000 0.000 0.327
# total magnetization	0.0	μB/f.u.
# raw total energy	-3.379	eV/atom
# energy of formation from the pure elements	-4.8	kcal/mol of atoms
# theoretical density	10.3	g cm⁻³
# DOS(E_F)	2.55	states/eV/f.u.

=====

# 4
# BeCr2B2 (PBE-GGA, optimized geometry)
data_BeCr2B2
_symmetry_space_group_name_H-M 'P 4/m b m'
_symmetry_Int_Tables_number 127
_symmetry_space_group_name_Hall '-P 4 2ab'
_cell_length_a 5.309
_cell_length_b 5.309
_cell_length_c 2.946
_cell_angle_alpha 90.00
_cell_angle_beta 90.00
_cell_angle_gamma 90.00
loop_
_atom_site_label
_atom_site_fract_x
_atom_site_fract_y
_atom_site_fract_z
Be1 0.000 0.000 0.000
Cr1 0.177 0.323 0.500
B1 0.117 0.617 0.000
# total magnetization	1.7	μB/f.u.
# raw total energy	-7.697	eV/atom
# energy of formation from the pure elements	-10.0	kcal/mol of atoms
# theoretical density	5.4	g cm⁻³
# DOS(E_F)	3.08	states/eV/f.u.

=====

# 5
# Pr7Y2Er3 (PBE-GGA, optimized geometry)
data_Pr7Y2Er3
_symmetry_space_group_name_H-M 'P 1 2/m 1'
_symmetry_Int_Tables_number 10
_cell_length_a 5.916
_cell_length_b 3.642
_cell_length_c 19.223
_cell_angle_alpha 90.00
_cell_angle_beta 93.98
_cell_angle_gamma 90.00
loop_
_symmetry_equiv_pos_as_xyz
'x,y,z'
'-x,-y,-z'
'-x,y,-z'
'x,-y,z'
loop_
_atom_site_label
_atom_site_fract_x
_atom_site_fract_y
_atom_site_fract_z
Pr1 0.000 0.000 0.000
Pr2 0.174 0.500 0.185
Pr3 0.258 0.500 0.534
Pr4 0.329 0.000 0.855
Y1 0.296 0.500 0.701
Er1 0.216 0.000 0.368
Er2 0.500 0.500 0.000
# total magnetization	0.0	μB/f.u.
# raw total energy	-4.912	eV/atom
# energy of formation from the pure elements	2.2	kcal/mol of atoms
# theoretical density	6.7	g cm⁻³
# relative energy among the computed polymorphs	0	meV/atom
# DOS(E_F)	17.55	states/eV/f.u.

=====

# 6
# ScAsCl2 (PBE-GGA, optimized geometry)
data_ScAsCl2
_symmetry_space_group_name_H-M 'C 1 2/m 1'
_symmetry_Int_Tables_number 12
_cell_length_a 14.326
_cell_length_b 3.515
_cell_length_c 4.382
_cell_angle_alpha 90.00
_cell_angle_beta 96.55
_cell_angle_gamma 90.00
loop_
_symmetry_equiv_pos_as_xyz
'x,y,z'
'-x,-y,-z'
'-x,y,-z'
'x,-y,z'
'x+1/2,y+1/2,z'
'-x+1/2,-y+1/2,-z'
'-x+1/2,y+1/2,-z'
'x+1/2,-y+1/2,z'
loop_
_atom_site_label
_atom_site_fract_x
_atom_site_fract_y
_atom_site_fract_z
Sc1 0.000 0.000 0.000
As1 0.000 0.500 0.500
Cl1 0.140 0.500 0.197
# energy relative to the elements, uncorrected	-4.5	eV/f.u.
# total magnetization	0.0	μB/f.u.
# raw total energy	-4.799	eV/atom
# theoretical density	2.9	g cm⁻³
# relative energy among the computed polymorphs	28	meV/atom
# DOS(E_F)	0.52	states/eV/f.u.

=====

# 7
# ScIr2Br (PBE-GGA, optimized geometry)
data_ScIr2Br
_symmetry_space_group_name_H-M 'P 4/m m m'
_symmetry_Int_Tables_number 123
_symmetry_space_group_name_Hall '-P 4 2'
_cell_length_a 3.949
_cell_length_b 3.949
_cell_length_c 4.386
_cell_angle_alpha 90.00
_cell_angle_beta 90.00
_cell_angle_gamma 90.00
loop_
_atom_site_label
_atom_site_fract_x
_atom_site_fract_y
_atom_site_fract_z
Sc1 0.000 0.000 0.000
Ir1 0.000 0.500 0.500
Br1 0.500 0.500 0.000
# energy relative to the elements, uncorrected	0.8	eV/f.u.
# total magnetization	0.0	μB/f.u.
# raw total energy	-6.238	eV/atom
# theoretical density	12.4	g cm⁻³
# relative energy among the computed polymorphs	494	meV/atom
# DOS(E_F)	5.00	states/eV/f.u.

=====

# 8
# Tl3ZnBr (PBE-GGA, optimized geometry)
data_Tl3ZnBr
_symmetry_space_group_name_H-M 'P m -3 m'
_symmetry_Int_Tables_number 221
_symmetry_space_group_name_Hall '-P 4 2 3'
_cell_length_a 5.479
_cell_length_b 5.479
_cell_length_c 5.479
_cell_angle_alpha 90.00
_cell_angle_beta 90.00
_cell_angle_gamma 90.00
loop_
_atom_site_label
_atom_site_fract_x
_atom_site_fract_y
_atom_site_fract_z
Tl1 0.000 0.000 0.500
Zn1 0.000 0.000 0.000
Br1 0.500 0.500 0.500
# energy relative to the elements, uncorrected	-0.4	eV/f.u.
# total magnetization	0.0	μB/f.u.
# raw total energy	-2.093	eV/atom
# theoretical density	7.7	g cm⁻³
# relative energy among the computed polymorphs	0	meV/atom
# DOS(E_F)	2.38	states/eV/f.u.

=====

# 9
# SmErMgAu (PBE-GGA, optimized geometry)
data_SmErMgAu
_symmetry_space_group_name_H-M 'F -4 3 m'
_symmetry_Int_Tables_number 216
_symmetry_space_group_name_Hall 'F -4 2 3'
_cell_length_a 7.390
_cell_length_b 7.390
_cell_length_c 7.390
_cell_angle_alpha 90.00
_cell_angle_beta 90.00
_cell_angle_gamma 90.00
loop_
_atom_site_label
_atom_site_fract_x
_atom_site_fract_y
_atom_site_fract_z
Sm1 0.000 0.000 0.000
Er1 0.000 0.000 0.500
Mg1 0.250 0.250 0.750
Au1 0.250 0.250 0.250
# total magnetization	0.0	μB/f.u.
# raw total energy	-3.934	eV/atom
# energy of formation from the pure elements	-9.1	kcal/mol of atoms
# theoretical density	8.9	g cm⁻³
# DOS(E_F)	2.66	states/eV/f.u.

=====

# 10
# Ag2HPt (PBE-GGA, optimized geometry)
data_Ag2HPt
_symmetry_space_group_name_H-M 'F m -3 m'
_symmetry_Int_Tables_number 225
_symmetry_space_group_name_Hall '-F 4 2 3'
_cell_length_a 6.269
_cell_length_b 6.269
_cell_length_c 6.269
_cell_angle_alpha 90.00
_cell_angle_beta 90.00
_cell_angle_gamma 90.00
loop_
_atom_site_label
_atom_site_fract_x
_atom_site_fract_y
_atom_site_fract_z
Ag1 0.250 0.250 0.250
H1 0.000 0.000 0.000
Pt1 0.000 0.000 0.500
# total magnetization	0.0	μB/f.u.
# raw total energy	-3.101	eV/atom
# theoretical density	11.1	g cm⁻³
# relative energy among the computed polymorphs	662	meV/atom
# DOS(E_F)	1.41	states/eV/f.u.

=====

# 11
# Na2InAu2 (PBE-GGA, optimized geometry)
data_Na2InAu2
_symmetry_space_group_name_H-M 'P 4/m b m'
_symmetry_Int_Tables_number 127
_symmetry_space_group_name_Hall '-P 4 2ab'
_cell_length_a 7.365
_cell_length_b 7.365
_cell_length_c 4.382
_cell_angle_alpha 90.00
_cell_angle_beta 90.00
_cell_angle_gamma 90.00
loop_
_atom_site_label
_atom_site_fract_x
_atom_site_fract_y
_atom_site_fract_z
Na1 0.164 0.336 0.000
In1 0.000 0.000 0.500
Au1 0.137 0.637 0.500
# total magnetization	0.0	μB/f.u.
# raw total energy	-2.685	eV/atom
# energy of formation from the pure elements	-6.9	kcal/mol of atoms
# theoretical density	7.8	g cm⁻³
# relative energy among the computed polymorphs	20	meV/atom
# DOS(E_F)	1.60	states/eV/f.u.